VASP calculation (PBE-GGA) on a relaxed Ho5Cu4Ir crystal.

V: 20.53 Å³/atom
Calculated formation energy: -8.9 kcal/mol of atoms
Fermi-level density of states: 7.43 states/eV/cell
Magnetic moment: 0.00 μB per atom

Cell lengths 3.4419, 3.4419, 17.3295 Å; angles 90.00, 90.00, 90.00 degrees
Positions (direct):
1 Ho 0.0000 0.0000 0.0000
2 Ho 0.0000 0.0000 0.2016
3 Ho 0.0000 0.0000 0.4045
4 Ho 0.0000 0.0000 0.5955
5 Ho 0.0000 0.0000 0.7984
6 Cu 0.5000 0.5000 0.0999
7 Cu 0.5000 0.5000 0.2995
8 Cu 0.5000 0.5000 0.7005
9 Cu 0.5000 0.5000 0.9001
10 Ir 0.5000 0.5000 0.5000